{"formula": "Tb5Y3Th3", "functional": "PBE", "state": "relaxed", "total_energy_ev_per_atom": -5.506, "dos_at_fermi_per_ev_cell": 15.9, "spacegroup": "P-62m, No. 189", "lattice": [[11.207, 0.000, 0.000], [-5.603, 9.705, 0.000], [0.000, 0.000, 3.437]], "species": ["Tb", "Tb", "Tb", "Tb", "Tb", "Y", "Y", "Y", "Th", "Th", "Th"], "frac_coords": [[0.000, 0.840, 0.000], [0.160, 0.160, 0.000], [0.333, 0.667, 0.000], [0.667, 0.333, 0.000], [0.840, 0.000, 0.000], [0.000, 0.592, 0.500], [0.408, 0.408, 0.500], [0.592, 0.000, 0.500], [0.000, 0.338, 0.000], [0.338, 0.000, 0.000], [0.662, 0.662, 0.000]]}